one.
{"formula": "Tb2Pm6Sm", "functional": "PBE", "state": "optimized geometry", "space_group": "P-1", "dos_at_fermi_per_ev_fu": 13.73, "cell": [[3.633, 0.000, 0.000], [-0.020, 8.892, 0.000], [-1.813, -0.037, 9.421]], "species": ["Tb", "Tb", "Pm", "Pm", "Pm", "Pm", "Pm", "Pm", "Sm"], "frac_coords": [[0.055, 0.333, 0.110], [0.945, 0.667, 0.890], [0.166, 0.999, 0.332], [0.278, 0.666, 0.557], [0.390, 0.335, 0.780], [0.610, 0.665, 0.220], [0.722, 0.334, 0.443], [0.834, 0.001, 0.668], [0.500, 0.000, 0.000]]}

two.
{"formula": "Tb2Pm6Sm", "functional": "PBE", "state": "optimized geometry", "space_group": "C2/m", "dos_at_fermi_per_ev_fu": 14.18, "cell": [[6.571, -3.794, 0.000], [6.571, 3.794, 0.000], [-0.001, 0.000, 6.198]], "species": ["Tb", "Tb", "Pm", "Pm", "Pm", "Pm", "Pm", "Pm", "Sm"], "frac_coords": [[0.167, 0.167, 0.216], [0.833, 0.833, 0.784], [0.123, 0.687, 0.290], [0.312, 0.312, 0.710], [0.313, 0.877, 0.710], [0.687, 0.123, 0.290], [0.688, 0.688, 0.290], [0.877, 0.313, 0.710], [0.500, 0.500, 0.000]]}

Ranked by calculated energy, most stable first: one, two.

one.
{"formula": "TbPmSmY", "functional": "PBE", "state": "optimized geometry", "space_group": "F-43m", "dos_at_fermi_per_ev_fu": 10.36, "cell": [[8.121, 0.000, 0.000], [0.000, 8.121, 0.000], [0.000, 0.000, 8.121]], "species": ["Tb", "Tb", "Tb", "Tb", "Pm", "Pm", "Pm", "Pm", "Sm", "Sm", "Sm", "Sm", "Y", "Y", "Y", "Y"], "frac_coords": [[0.000, 0.000, 0.000], [0.000, 0.500, 0.500], [0.500, 0.000, 0.500], [0.500, 0.500, 0.000], [0.000, 0.000, 0.500], [0.000, 0.500, 0.000], [0.500, 0.000, 0.000], [0.500, 0.500, 0.500], [0.250, 0.250, 0.250], [0.250, 0.750, 0.750], [0.750, 0.250, 0.750], [0.750, 0.750, 0.250], [0.250, 0.250, 0.750], [0.250, 0.750, 0.250], [0.750, 0.250, 0.250], [0.750, 0.750, 0.750]]}

two.
{"formula": "TbPmSmY", "functional": "PBE", "state": "optimized geometry", "space_group": "I-4m2", "dos_at_fermi_per_ev_fu": 5.68, "cell": [[5.103, 0.000, 0.000], [0.000, 5.103, 0.000], [0.000, 0.000, 10.166]], "species": ["Tb", "Tb", "Pm", "Pm", "Sm", "Sm", "Y", "Y"], "frac_coords": [[0.000, 0.000, 0.000], [0.500, 0.500, 0.500], [0.000, 0.500, 0.750], [0.500, 0.000, 0.250], [0.000, 0.000, 0.500], [0.500, 0.500, 0.000], [0.000, 0.500, 0.250], [0.500, 0.000, 0.750]]}

Ranked by calculated energy, most stable first: two, one.

one.
{"formula": "PmSm3Tc", "functional": "PBE", "state": "optimized geometry", "space_group": "Cm", "dos_at_fermi_per_ev_fu": 4.79, "cell": [[6.168, -1.997, 0.000], [6.168, 1.997, 0.000], [-4.909, 0.000, 12.142]], "species": ["Pm", "Pm", "Sm", "Sm", "Sm", "Sm", "Sm", "Sm", "Tc", "Tc"], "frac_coords": [[0.000, 0.000, 0.000], [0.111, 0.111, 0.280], [0.131, 0.131, 0.615], [0.244, 0.244, 0.894], [0.441, 0.441, 0.380], [0.467, 0.467, 0.752], [0.776, 0.776, 0.141], [0.801, 0.801, 0.515], [0.439, 0.439, 0.140], [0.803, 0.803, 0.752]]}

two.
{"formula": "PmSm3Tc", "functional": "PBE", "state": "optimized geometry", "space_group": "Pm-3m", "dos_at_fermi_per_ev_fu": 7.65, "cell": [[5.478, 0.000, 0.000], [0.000, 5.478, 0.000], [0.000, 0.000, 5.478]], "species": ["Pm", "Sm", "Sm", "Sm", "Tc"], "frac_coords": [[0.000, 0.000, 0.000], [0.000, 0.500, 0.500], [0.500, 0.000, 0.500], [0.500, 0.500, 0.000], [0.500, 0.500, 0.500]]}

Ranked by calculated energy, most stable first: one, two.